Below is crystalline K3Pt at its relaxed geometry, with properties calculated at the GGA-PBE level.

Output
DOS at the Fermi energy (states/eV per atom): 1.721
Size of the total moment (μB per formula unit): 0.2
Space-group type: No. 187
Crystal system: hexagonal
Energy of formation from the pure elements (eV/atom): 0.21
V (Å³/f.u.): 201.30
Uncorrected energy (eV/atom): -2.1277

Unit cell a=4.763 b=4.763 c=10.246 alpha=90.00 beta=90.00 gamma=120.00
Element x y z (fractional)
K 0.000 0.000 0.000
K 0.667 0.333 0.341
K 0.667 0.333 0.659
Pt 0.000 0.000 0.500